i | This record from the Alexandria database describes a relaxed Cd2FePtF crystal. The functional is PBE+U.

a = 5.3241 Å, b = 4.1946 Å, c = 5.3241 Å
α = 90.00°, β = 90.00°, γ = 90.00°
Fractional positions:
Pt: 0.0000 0.0000 0.0000
Cd: 0.5000 0.0000 0.0000
Cd: 0.0000 0.0000 0.5000
Fe: 0.5000 0.5000 0.5000
F: 0.0000 0.5000 0.0000

Computed properties:
Total magnetic moment = 0.780 μB per atom
SG = P4/mmm, No. 123
Crystal system = tetragonal

---

ii | This record from the Alexandria database describes a relaxed Cd2FePtF crystal. The functional is PBE+U.

a = 4.7478 Å, b = 3.9959 Å, c = 4.7478 Å
α = 90.00°, β = 90.00°, γ = 90.00°
Fractional positions:
Fe: 0.0000 0.5000 0.0000
Pt: 0.5000 0.5000 0.5000
Cd: 0.0000 0.0000 0.5000
Cd: 0.5000 0.0000 0.0000
F: 0.0000 0.0000 0.0000

Computed properties:
Total magnetic moment = 0.778 μB per atom
SG = P4/mmm, No. 123
Crystal system = tetragonal

---

Question: of the structures shown, which is the most stable? Reply: ii.